1.
Density functional theory data (PBE) for a geometry-optimized Nd2CoSi4Pt3 structure.

As for the calculated volume: 17.5 A^3/atom. The total energy comes out at -66.64 eV/f.u. The space group is P-4m2. The value obtained for the size of the total moment is 0.84 μB/cell. The value obtained for the density is 9.92 g/cm3. Its crystal system is tetragonal.

The structure in POSCAR format:
```
Nd2CoSi4Pt3
1.0
4.199 0.000 0.000
0.000 4.199 0.000
0.000 0.000 9.920
Nd Co Si Pt
2 1 4 3
Direct
0.000 0.500 0.250
0.500 0.000 0.750
0.000 0.000 0.500
0.000 0.000 0.000
0.000 0.500 0.626
0.500 0.000 0.374
0.500 0.500 0.000
0.000 0.500 0.875
0.500 0.000 0.125
0.500 0.500 0.500
```

---

2.
Density functional theory data (PBE) for a geometry-optimized TbNdCoPt structure.

As for the calculated volume: 21.4 A^3/atom. The total energy comes out at -24.72 eV/f.u. The space group is F-43m. The value obtained for the size of the total moment is 0.38 μB/cell. The value obtained for the density is 10.82 g/cm3. Its crystal system is cubic.

The structure in POSCAR format:
```
TbNdCoPt
1.0
0.000 3.497 3.497
3.497 0.000 3.497
3.497 3.497 0.000
Tb Nd Co Pt
1 1 1 1
Direct
0.000 0.000 0.000
0.500 0.500 0.500
0.250 0.250 0.250
0.750 0.750 0.750
```

---

3.
Density functional theory data (PBE) for a geometry-optimized NdTmCoPt structure.

As for the calculated volume: 20.9 A^3/atom. The total energy comes out at -24.69 eV/f.u. The space group is F-43m. The value obtained for the size of the total moment is 0.41 μB/cell. The value obtained for the density is 11.29 g/cm3. Its crystal system is cubic.

The structure in POSCAR format:
```
NdTmCoPt
1.0
0.000 3.468 3.468
3.468 0.000 3.468
3.468 3.468 0.000
Nd Tm Co Pt
1 1 1 1
Direct
0.000 0.000 0.000
0.500 0.500 0.500
0.250 0.250 0.250
0.750 0.750 0.750
```

---

4.
Density functional theory data (PBE) for a geometry-optimized NdYCoPt structure.

As for the calculated volume: 21.4 A^3/atom. The total energy comes out at -26.55 eV/f.u. The space group is F-43m. The value obtained for the size of the total moment is 0.41 μB/cell. The value obtained for the density is 9.47 g/cm3. Its crystal system is cubic.

The structure in POSCAR format:
```
NdYCoPt
1.0
0.000 3.496 3.496
3.496 0.000 3.496
3.496 3.496 0.000
Nd Y Co Pt
1 1 1 1
Direct
0.000 0.000 0.000
0.500 0.500 0.500
0.750 0.750 0.750
0.250 0.250 0.250
```

---

5.
Density functional theory data (PBE) for a geometry-optimized NdPu2Co9 structure.

As for the calculated volume: 14.4 A^3/atom. The total energy comes out at -98.77 eV/f.u. The space group is R-3m. The value obtained for the size of the total moment is 0.15 μB/cell. The value obtained for the density is 11.14 g/cm3. Its crystal system is trigonal.

The structure in POSCAR format:
```
NdPu2Co9
1.0
2.477 1.430 8.150
-2.477 1.430 8.150
0.000 -2.861 8.150
Nd Pu Co
1 2 9
Direct
0.000 0.000 0.000
0.140 0.140 0.140
0.860 0.860 0.860
0.082 0.583 0.583
0.333 0.333 0.333
0.417 0.417 0.918
0.417 0.918 0.417
0.500 0.500 0.500
0.583 0.082 0.583
0.583 0.583 0.082
0.667 0.667 0.667
0.918 0.417 0.417
```

---

6.
Density functional theory data (PBE) for a geometry-optimized NdPuCo4 structure.

As for the calculated volume: 15.6 A^3/atom. The total energy comes out at -48.00 eV/f.u. The space group is F-43m. The value obtained for the size of the total moment is 1.09 μB/cell. The value obtained for the density is 11.05 g/cm3. Its crystal system is cubic.

The structure in POSCAR format:
```
NdPuCo4
1.0
0.000 3.606 3.606
3.606 0.000 3.606
3.606 3.606 0.000
Nd Pu Co
1 1 4
Direct
0.000 0.000 0.000
0.750 0.750 0.750
0.376 0.376 0.376
0.376 0.376 0.871
0.376 0.871 0.376
0.871 0.376 0.376
```

---

7.
Density functional theory data (PBE) for a geometry-optimized NdPu2Co structure.

As for the calculated volume: 26.3 A^3/atom. The total energy comes out at -39.85 eV/f.u. The space group is R-3m. The value obtained for the size of the total moment is 10.77 μB/cell. The value obtained for the density is 10.90 g/cm3. Its crystal system is trigonal.

The structure in POSCAR format:
```
NdPu2Co
1.0
1.840 1.062 8.986
-1.840 1.062 8.986
0.000 -2.124 8.986
Nd Pu Co
1 2 1
Direct
0.000 0.000 0.000
0.225 0.225 0.225
0.775 0.775 0.775
0.500 0.500 0.500
```

---

8.
Density functional theory data (PBE) for a geometry-optimized Nd2PuCo structure.

As for the calculated volume: 29.7 A^3/atom. The total energy comes out at -29.63 eV/f.u. The space group is R-3m. The value obtained for the size of the total moment is 6.49 μB/cell. The value obtained for the density is 8.26 g/cm3. Its crystal system is trigonal.

The structure in POSCAR format:
```
Nd2PuCo
1.0
1.822 1.052 10.343
-1.822 1.052 10.343
0.000 -2.104 10.343
Nd Pu Co
2 1 1
Direct
0.111 0.111 0.111
0.889 0.889 0.889
0.000 0.000 0.000
0.500 0.500 0.500
```

---

9.
Density functional theory data (PBE) for a geometry-optimized Nd3Pu2Co4 structure.

As for the calculated volume: 21.4 A^3/atom. The total energy comes out at -72.14 eV/f.u. The space group is C2/m. The value obtained for the size of the total moment is 8.40 μB/cell. The value obtained for the density is 9.99 g/cm3. Its crystal system is monoclinic.

The structure in POSCAR format:
```
Nd3Pu2Co4
1.0
5.583 -2.008 0.000
5.583 2.008 0.000
-1.901 0.000 8.572
Nd Pu Co
3 2 4
Direct
0.000 0.000 0.000
0.378 0.378 0.615
0.622 0.622 0.385
0.321 0.321 0.215
0.679 0.679 0.785
0.085 0.085 0.635
0.283 0.283 0.914
0.717 0.717 0.086
0.915 0.915 0.365
```

---

10.
Density functional theory data (PBE) for a geometry-optimized Nd2PuCo structure.

As for the calculated volume: 26.5 A^3/atom. The total energy comes out at -30.48 eV/f.u. The space group is P4/mmm. The value obtained for the size of the total moment is 7.77 μB/cell. The value obtained for the density is 9.25 g/cm3. Its crystal system is tetragonal.

The structure in POSCAR format:
```
Nd2PuCo
1.0
3.483 0.000 0.000
0.000 3.483 0.000
0.000 0.000 8.750
Nd Pu Co
2 1 1
Direct
0.000 0.000 0.196
0.000 0.000 0.804
0.500 0.500 0.500
0.500 0.500 0.000
```

---

11.
Density functional theory data (PBE) for a geometry-optimized NdPuCo5 structure.

As for the calculated volume: 15.4 A^3/atom. The total energy comes out at -55.04 eV/f.u. The space group is Pnma. The value obtained for the size of the total moment is 2.09 μB/cell. The value obtained for the density is 10.52 g/cm3. Its crystal system is orthorhombic.

The structure in POSCAR format:
```
NdPuCo5
1.0
8.414 0.000 0.000
0.000 4.936 0.000
0.000 0.000 10.380
Nd Pu Co
4 4 20
Direct
0.247 0.250 0.067
0.253 0.750 0.567
0.747 0.250 0.433
0.753 0.750 0.933
0.130 0.250 0.374
0.370 0.750 0.874
0.630 0.250 0.126
0.870 0.750 0.626
0.049 0.250 0.611
0.063 0.750 0.013
0.070 0.003 0.813
0.070 0.497 0.813
0.188 0.750 0.238
0.312 0.250 0.738
0.430 0.503 0.313
0.430 0.997 0.313
0.437 0.250 0.513
0.451 0.750 0.111
0.549 0.250 0.889
0.563 0.750 0.487
0.570 0.003 0.687
0.570 0.497 0.687
0.688 0.750 0.262
0.812 0.250 0.762
0.930 0.503 0.187
0.930 0.997 0.187
0.937 0.250 0.987
0.951 0.750 0.389
```

---

12.
Density functional theory data (PBE) for a geometry-optimized NdPu2Co structure.

As for the calculated volume: 24.3 A^3/atom. The total energy comes out at -40.00 eV/f.u. The space group is P4/mmm. The value obtained for the size of the total moment is 10.28 μB/cell. The value obtained for the density is 11.79 g/cm3. Its crystal system is tetragonal.

The structure in POSCAR format:
```
NdPu2Co
1.0
3.422 0.000 0.000
0.000 3.422 0.000
0.000 0.000 8.311
Nd Pu Co
1 2 1
Direct
0.000 0.000 0.000
0.500 0.500 0.316
0.500 0.500 0.684
0.000 0.000 0.500
```

---

13.
Density functional theory data (PBE) for a geometry-optimized Nd2PuCo2 structure.

As for the calculated volume: 22.4 A^3/atom. The total energy comes out at -38.52 eV/f.u. The space group is C2/c. The value obtained for the size of the total moment is 8.70 μB/cell. The value obtained for the density is 9.64 g/cm3. Its crystal system is monoclinic.

The structure in POSCAR format:
```
Nd2PuCo2
1.0
5.109 -3.041 0.000
5.109 3.041 0.000
-1.295 0.000 7.208
Nd Pu Co
4 2 4
Direct
0.034 0.268 0.147
0.268 0.034 0.647
0.732 0.966 0.353
0.966 0.732 0.853
0.412 0.588 0.250
0.588 0.412 0.750
0.208 0.493 0.488
0.493 0.208 0.988
0.507 0.792 0.012
0.792 0.507 0.512
```

---

14.
Density functional theory data (PBE) for a geometry-optimized NdPuCoRu structure.

As for the calculated volume: 20.1 A^3/atom. The total energy comes out at -35.48 eV/f.u. The space group is F-43m. The value obtained for the size of the total moment is 3.50 μB/cell. The value obtained for the density is 11.30 g/cm3. Its crystal system is cubic.

The structure in POSCAR format:
```
NdPuCoRu
1.0
0.000 3.428 3.428
3.428 0.000 3.428
3.428 3.428 0.000
Nd Pu Co Ru
1 1 1 1
Direct
0.000 0.000 0.000
0.500 0.500 0.500
0.750 0.750 0.750
0.250 0.250 0.250
```

---

15.
Density functional theory data (PBE) for a geometry-optimized RbNd2Co structure.

As for the calculated volume: 41.2 A^3/atom. The total energy comes out at -17.13 eV/f.u. The space group is R-3m. The value obtained for the size of the total moment is 0.00 μB/cell. The value obtained for the density is 4.36 g/cm3. Its crystal system is trigonal.

The structure in POSCAR format:
```
RbNd2Co
1.0
2.045 1.180 11.379
-2.045 1.180 11.379
0.000 -2.361 11.379
Rb Nd Co
1 2 1
Direct
0.000 0.000 0.000
0.125 0.125 0.125
0.875 0.875 0.875
0.500 0.500 0.500
```

---

16.
Density functional theory data (PBE) for a geometry-optimized NdCoRe structure.

As for the calculated volume: 22.5 A^3/atom. The total energy comes out at -23.08 eV/f.u. The space group is P4_12_12. The value obtained for the size of the total moment is 0.00 μB/cell. The value obtained for the density is 9.58 g/cm3. Its crystal system is tetragonal.

The structure in POSCAR format:
```
NdCoRe
1.0
6.690 0.000 0.000
0.000 6.690 0.000
0.000 0.000 6.030
Nd Co Re
4 4 4
Direct
0.244 0.244 0.000
0.256 0.744 0.250
0.744 0.256 0.750
0.756 0.756 0.500
0.133 0.867 0.750
0.367 0.367 0.500
0.633 0.633 0.000
0.867 0.133 0.250
0.123 0.123 0.500
0.377 0.623 0.750
0.623 0.377 0.250
0.877 0.877 0.000
```

---

17.
Density functional theory data (PBE) for a geometry-optimized Nd4CoRh structure.

As for the calculated volume: 30.5 A^3/atom. The total energy comes out at -34.90 eV/f.u. The space group is I4_1md. The value obtained for the size of the total moment is 0.00 μB/cell. The value obtained for the density is 6.69 g/cm3. Its crystal system is tetragonal.

The structure in POSCAR format:
```
Nd4CoRh
1.0
-4.674 4.674 4.195
4.674 -4.674 4.195
4.674 4.674 -4.195
Nd Co Rh
8 2 2
Direct
0.182 0.486 0.697
0.236 0.039 0.803
0.236 0.432 0.197
0.300 0.000 0.300
0.700 0.000 0.700
0.750 0.550 0.800
0.750 0.950 0.200
0.789 0.486 0.303
0.743 0.243 0.500
0.993 0.993 0.000
0.243 0.743 0.500
0.493 0.493 0.000
```

---

18.
Density functional theory data (PBE) for a geometry-optimized Nd8CoRh2 structure.

As for the calculated volume: 29.3 A^3/atom. The total energy comes out at -62.18 eV/f.u. The space group is Cm. The value obtained for the size of the total moment is 0.00 μB/cell. The value obtained for the density is 7.30 g/cm3. Its crystal system is monoclinic.

The structure in POSCAR format:
```
Nd8CoRh2
1.0
4.304 -6.230 0.000
4.304 6.230 0.000
-2.372 0.000 6.017
Nd Co Rh
8 1 2
Direct
0.000 0.000 0.000
0.002 0.272 0.584
0.174 0.542 0.202
0.272 0.002 0.584
0.438 0.706 0.839
0.542 0.174 0.202
0.706 0.438 0.839
0.714 0.714 0.399
0.357 0.357 0.985
0.036 0.667 0.702
0.667 0.036 0.702
```

---

19.
Density functional theory data (PBE) for a geometry-optimized Nd2CoRh structure.

As for the calculated volume: 21.7 A^3/atom. The total energy comes out at -25.14 eV/f.u. The space group is P4/mmm. The value obtained for the size of the total moment is 0.55 μB/cell. The value obtained for the density is 8.63 g/cm3. Its crystal system is tetragonal.

The structure in POSCAR format:
```
Nd2CoRh
1.0
3.516 0.000 0.000
0.000 3.516 0.000
0.000 0.000 7.010
Nd Co Rh
2 1 1
Direct
0.000 0.000 0.247
0.000 0.000 0.753
0.500 0.500 0.000
0.500 0.500 0.500
```

---

20.
Density functional theory data (PBE) for a geometry-optimized Nd6CoRh2 structure.

As for the calculated volume: 28.0 A^3/atom. The total energy comes out at -53.65 eV/f.u. The space group is P2_1/c. The value obtained for the size of the total moment is 0.00 μB/cell. The value obtained for the density is 7.45 g/cm3. Its crystal system is monoclinic.

The structure in POSCAR format:
```
Nd6CoRh2
1.0
6.709 0.000 0.000
0.000 7.440 0.000
-6.361 0.000 10.092
Nd Co Rh
12 2 4
Direct
0.093 0.048 0.250
0.093 0.452 0.750
0.244 0.680 0.072
0.244 0.820 0.572
0.397 0.177 0.067
0.397 0.323 0.567
0.603 0.677 0.433
0.603 0.823 0.933
0.756 0.180 0.428
0.756 0.320 0.928
0.907 0.548 0.250
0.907 0.952 0.750
0.000 0.000 0.000
0.000 0.500 0.500
0.313 0.114 0.760
0.313 0.386 0.260
0.687 0.614 0.740
0.687 0.886 0.240
```

---

21.
Density functional theory data (PBE) for a geometry-optimized Nd4CoRh structure.

As for the calculated volume: 27.7 A^3/atom. The total energy comes out at -34.96 eV/f.u. The space group is C2/c. The value obtained for the size of the total moment is 0.00 μB/cell. The value obtained for the density is 7.39 g/cm3. Its crystal system is monoclinic.

The structure in POSCAR format:
```
Nd4CoRh
1.0
4.605 -7.192 0.000
4.605 7.192 0.000
-4.501 0.000 5.013
Nd Co Rh
8 2 2
Direct
0.026 0.620 0.810
0.225 0.317 0.855
0.317 0.225 0.355
0.380 0.974 0.690
0.620 0.026 0.310
0.683 0.775 0.645
0.775 0.683 0.145
0.974 0.380 0.190
0.327 0.673 0.250
0.673 0.327 0.750
0.374 0.626 0.750
0.626 0.374 0.250
```

---

22.
Density functional theory data (PBE) for a geometry-optimized Nd2CoRh structure.

As for the calculated volume: 21.7 A^3/atom. The total energy comes out at -25.13 eV/f.u. The space group is Fm-3m. The value obtained for the size of the total moment is 0.62 μB/cell. The value obtained for the density is 8.62 g/cm3. Its crystal system is cubic.

The structure in POSCAR format:
```
Nd2CoRh
1.0
0.000 3.513 3.513
3.513 0.000 3.513
3.513 3.513 0.000
Nd Co Rh
2 1 1
Direct
0.250 0.250 0.250
0.750 0.750 0.750
0.000 0.000 0.000
0.500 0.500 0.500
```

---

23.
Density functional theory data (PBE) for a geometry-optimized Nd4Co3Rh structure.

As for the calculated volume: 22.4 A^3/atom. The total energy comes out at -49.44 eV/f.u. The space group is Pmm2. The value obtained for the size of the total moment is 0.76 μB/cell. The value obtained for the density is 7.95 g/cm3. Its crystal system is orthorhombic.

The structure in POSCAR format:
```
Nd4Co3Rh
1.0
4.007 0.000 0.000
0.000 4.075 0.000
0.000 0.000 10.958
Nd Co Rh
4 3 1
Direct
0.000 0.000 0.000
0.000 0.500 0.495
0.500 0.000 0.283
0.500 0.500 0.780
0.000 0.000 0.690
0.000 0.500 0.218
0.500 0.000 0.588
0.500 0.500 0.066
```

---

24.
Density functional theory data (PBE) for a geometry-optimized Nd2CoRh structure.

As for the calculated volume: 22.4 A^3/atom. The total energy comes out at -25.40 eV/f.u. The space group is P2_1/m. The value obtained for the size of the total moment is 0.23 μB/cell. The value obtained for the density is 8.35 g/cm3. Its crystal system is monoclinic.

The structure in POSCAR format:
```
Nd2CoRh
1.0
5.857 0.000 0.000
0.000 4.041 0.000
-2.778 0.000 7.572
Nd Co Rh
4 2 2
Direct
0.213 0.250 0.433
0.214 0.250 0.924
0.786 0.750 0.076
0.787 0.750 0.567
0.356 0.750 0.714
0.644 0.250 0.286
0.356 0.750 0.214
0.644 0.250 0.786
```